No. 1
DFT (PBE) results for a geometry-optimized TmAgPO4 structure.

Lattice parameters (Å, degrees): 5.7009 7.1593 8.8372 90.00 90.00 90.00
Space group Imma (No. 74)
One atom of each set of equivalent atoms:
1 Tm 0.0000 0.0000 0.0000
2 Ag 0.2500 0.2500 0.2500
3 P 0.0000 0.2500 0.6448
4 O 0.0000 0.0712 0.7418
5 O 0.2245 0.2500 0.5379

Summary:
Its formation energy (no corrections) is -2.088 eV/atom.

***

No. 2
DFT (PBE) results for a geometry-optimized TmAgP2O6 structure.

Lattice parameters (Å, degrees): 8.6649 10.2131 7.7883 90.00 115.71 90.00
Space group C2/c (No. 15)
One atom of each set of equivalent atoms:
1 Tm 0.0000 0.0602 0.2500
2 Ag 0.0000 0.3516 0.7500
3 P 0.1931 0.1851 0.7454
4 O 0.0945 0.1007 0.5675
5 O 0.1759 0.2205 0.2645
6 O 0.2477 0.0880 0.9128

Summary:
Its formation energy (no corrections) is -2.105 eV/atom.